# 1
A geometry-optimized PmSmEr2Th structure. Source: the Alexandria database, functional PBE. Values from VASP.

ΔE_f = 31.0 kJ per mole of atoms
Electronic total energy = -4.881 eV per atom

Geometry as Quantum ESPRESSO input:
```
&SYSTEM
  ibrav = 0, nat = 10, ntyp = 4
/
ATOMIC_SPECIES
Pm 145.00 Pm.upf
Sm 150.36 Sm.upf
Er 167.26 Er.upf
Th 232.04 Th.upf
CELL_PARAMETERS angstrom
8.623 0.000 0.000
0.000 6.470 0.000
-1.243 0.000 6.200
ATOMIC_POSITIONS angstrom
Pm 0.000 0.000 0.000
Pm -0.621 0.000 3.100
Sm 4.001 1.093 1.550
Sm 3.380 5.378 4.650
Er 1.850 2.101 4.276
Er 2.472 4.369 1.176
Er 4.909 2.101 5.023
Er 5.530 4.369 1.923
Th -0.311 2.913 1.550
Th -0.932 3.557 4.650
```



# 2
A geometry-optimized Pm2SmEr5Th structure. Source: the Alexandria database, functional PBE. Values from VASP.

ΔE_f = 28.0 kJ per mole of atoms
Electronic total energy = -4.649 eV per atom

Geometry as Quantum ESPRESSO input:
```
&SYSTEM
  ibrav = 0, nat = 18, ntyp = 4
/
ATOMIC_SPECIES
Pm 145.00 Pm.upf
Sm 150.36 Sm.upf
Er 167.26 Er.upf
Th 232.04 Th.upf
CELL_PARAMETERS angstrom
-4.345 4.345 7.653
4.345 -4.345 7.653
4.345 4.345 -7.653
ATOMIC_POSITIONS angstrom
Pm 5.351 1.005 0.000
Pm 1.005 3.340 0.000
Pm 3.340 1.005 7.653
Pm -1.005 3.340 7.653
Sm 4.345 0.000 3.826
Sm 0.000 4.345 3.826
Er 0.000 0.000 0.000
Er 2.501 1.844 -2.120
Er 2.501 -1.844 5.533
Er 2.501 1.844 2.120
Er 2.501 -1.844 9.773
Er 0.000 0.000 7.653
Er 1.844 6.189 -2.120
Er 1.844 2.501 5.533
Er 1.844 6.189 2.120
Er 1.844 2.501 9.773
Th 0.000 0.000 3.826
Th 0.000 0.000 11.479
```